No. 1
## Al2ZnAg5 (GGA-PBE)

Data for a relaxed structure of Al2ZnAg5.

The value obtained for the magnetic moment is 0.0 μB per cell. The calculated total energy comes out at -2.8592 eV per atom.

The structure in extended XYZ format:
```
16
Lattice="-3.5185 3.5185 5.5412 3.5185 -3.5185 5.5412 3.5185 3.5185 -5.5412" Properties=species:S:1:pos:R:3 pbc="T T T"
Al 4.5251 1.0066 0.0000
Al 1.0066 2.5119 0.0000
Al 2.5119 1.0066 5.5412
Al -1.0066 2.5119 5.5412
Zn 0.0000 0.0000 2.7706
Zn 0.0000 0.0000 8.3119
Ag 0.0000 0.0000 0.0000
Ag 4.5854 -1.0669 1.7463
Ag 2.4517 -1.0669 3.7949
Ag 2.4517 1.0669 1.7463
Ag 4.5854 1.0669 3.7949
Ag 0.0000 0.0000 5.5412
Ag -1.0669 2.4517 1.7463
Ag 1.0669 2.4517 3.7949
Ag 1.0669 4.5854 1.7463
Ag -1.0669 4.5854 3.7949
```



No. 2
## SrScBe2Co (GGA-PBE)

Data for a relaxed structure of SrScBe2Co.

The value obtained for the magnetic moment is 0.0 μB per cell. The calculated total energy comes out at -2.7443 eV per atom.

The structure in extended XYZ format:
```
5
Lattice="4.8625 0.0000 0.0000 0.0000 4.8625 0.0000 0.0000 0.0000 4.5736" Properties=species:S:1:pos:R:3 pbc="T T T"
Sr 0.0000 0.0000 0.0000
Sc 2.4312 2.4312 2.2868
Be 0.0000 2.4312 0.0000
Be 2.4312 0.0000 0.0000
Co 0.0000 0.0000 2.2868
```



No. 3
## Rb3GaTe (GGA-PBE)

Data for a relaxed structure of Rb3GaTe.

The value obtained for the magnetic moment is 2.0 μB per cell. The calculated total energy comes out at -2.0241 eV per atom.

The structure in extended XYZ format:
```
5
Lattice="6.9898 0.0000 0.0000 0.0000 6.9898 0.0000 0.0000 0.0000 6.9898" Properties=species:S:1:pos:R:3 pbc="T T T"
Rb 0.0000 0.0000 3.4949
Rb 0.0000 3.4949 0.0000
Rb 3.4949 0.0000 0.0000
Ga 3.4949 3.4949 3.4949
Te 0.0000 0.0000 0.0000
```



No. 4
## AlAg2Pb (GGA-PBE)

Data for a relaxed structure of AlAg2Pb.

The value obtained for the magnetic moment is 0.0 μB per cell. The calculated total energy comes out at -3.1872 eV per atom.

The structure in extended XYZ format:
```
4
Lattice="2.8577 -1.5986 0.0000 2.8577 1.5986 0.0000 -1.7084 0.0000 9.2476" Properties=species:S:1:pos:R:3 pbc="T T T"
Al 0.0000 0.0000 0.0000
Ag 1.9153 0.0000 1.9745
Ag 2.0793 0.0000 7.2681
Pb 0.0944 0.0000 4.6116
```



No. 5
## Ca2ReSi (GGA-PBE)

Data for a relaxed structure of Ca2ReSi.

The value obtained for the magnetic moment is 0.0 μB per cell. The calculated total energy comes out at -5.0441 eV per atom.

The structure in extended XYZ format:
```
4
Lattice="2.8544 0.0000 0.0000 0.0000 4.5054 0.0000 -0.0075 0.0000 6.2771" Properties=species:S:1:pos:R:3 pbc="T T T"
Ca -0.0001 0.0000 1.5443
Ca 2.8469 0.0000 4.7327
Re 1.4234 2.2527 3.1385
Si 1.4272 2.2527 0.0000
```



No. 6
## Tb2TmCd3 (GGA-PBE)

Data for a relaxed structure of Tb2TmCd3.

The value obtained for the magnetic moment is 0.0 μB per cell. The calculated total energy comes out at -3.0642 eV per atom.

The structure in extended XYZ format:
```
6
Lattice="5.2826 0.0000 0.0000 -2.6413 4.5748 0.0000 0.0000 0.0000 6.4856" Properties=species:S:1:pos:R:3 pbc="T T T"
Tb 0.0000 3.0499 1.1225
Tb 2.6413 1.5249 5.3631
Tm 0.0000 0.0000 3.2428
Cd 0.0000 0.0000 0.0000
Cd 0.0000 3.0499 4.3386
Cd 2.6413 1.5249 2.1470
```



No. 7
## NaMg2Tl5 (GGA-PBE)

Data for a relaxed structure of NaMg2Tl5.

The value obtained for the magnetic moment is 0.0 μB per cell. The calculated total energy comes out at -2.0664 eV per atom.

The structure in extended XYZ format:
```
16
Lattice="-4.0032 4.0032 6.8726 4.0032 -4.0032 6.8726 4.0032 4.0032 -6.8726" Properties=species:S:1:pos:R:3 pbc="T T T"
Na 0.0000 0.0000 3.4363
Na 0.0000 0.0000 10.3089
Mg 5.1279 1.1248 0.0000
Mg 1.1248 2.8784 0.0000
Mg 2.8784 1.1248 6.8726
Mg -1.1248 2.8784 6.8726
Tl 0.0000 0.0000 0.0000
Tl 5.2309 -1.2277 2.1373
Tl 2.7755 -1.2277 4.7353
Tl 2.7755 1.2277 2.1373
Tl 5.2309 1.2277 4.7353
Tl 0.0000 0.0000 6.8726
Tl -1.2277 2.7755 2.1373
Tl 1.2277 2.7755 4.7353
Tl 1.2277 5.2309 2.1373
Tl -1.2277 5.2309 4.7353
```